Run A
# CaAg2Hg4

A relaxed structure of CaAg2Hg4 (PBE, the Alexandria database).

a b c (Å): 5.987 5.987 5.705
angles (deg): 117.91 117.91 76.19
Fractional positions:
Ca1 0.000 0.000 0.000
Ag1 0.500 0.500 0.248
Ag2 0.500 0.500 0.752
Hg1 0.003 0.604 0.302
Hg2 0.396 0.997 0.698
Hg3 0.604 0.003 0.302
Hg4 0.997 0.396 0.698

Computed properties:
SG	C2/m, No. 12
density of states at the Fermi level	2.61	states/eV/f.u.

***

Run B
# CaAg2Hg4

A relaxed structure of CaAg2Hg4 (PBE, the Alexandria database).

a b c (Å): 4.870 4.870 7.253
angles (deg): 90.00 90.00 90.00
Fractional positions:
Ca1 0.000 0.000 0.000
Ag1 0.000 0.000 0.500
Ag2 0.500 0.500 0.000
Hg1 0.000 0.500 0.279
Hg2 0.000 0.500 0.721
Hg3 0.500 0.000 0.279
Hg4 0.500 0.000 0.721

Computed properties:
SG	P4/mmm, No. 123
density of states at the Fermi level	3.05	states/eV/f.u.

***

Energy above the most stable structure, in kJ/mol of atoms: run A 0.0; run B 0.7